Below is a relaxed DyScCdPb crystal, with properties calculated at the GGA-PBE level.

```
DyScCdPb
1.0
5.210 0.000 0.000
2.605 4.512 0.000
2.605 1.504 4.254
Pb Dy Cd Sc
1 1 1 1
Direct
0.250 0.250 0.250
0.500 0.500 0.500
0.750 0.750 0.750
0.000 0.000 0.000
```

Output
Energy ... -4.2233 eV/atom

=====

Below is a relaxed DyCdSnPb crystal, with properties calculated at the GGA-PBE level.

```
DyCdSnPb
1.0
-1.349 4.248 -0.416
-2.231 -1.113 -4.133
-3.997 -1.031 2.435
Cd Pb Sn Dy
1 1 1 1
Direct
0.000 0.000 0.000
0.500 0.000 0.500
0.500 0.500 0.000
0.000 0.500 0.500
```

Output
Energy ... -3.6769 eV/atom

=====

Below is a relaxed SrDyCdPb crystal, with properties calculated at the GGA-PBE level.

```
SrDyCdPb
1.0
5.554 0.000 0.000
2.777 4.810 0.000
2.777 1.603 4.535
Sr Pb Cd Dy
1 1 1 1
Direct
0.750 0.750 0.750
0.000 0.000 0.000
0.500 0.500 0.500
0.250 0.250 0.250
```

Output
Energy ... -3.0863 eV/atom

=====

Below is a relaxed TbDyCdPb crystal, with properties calculated at the GGA-PBE level.

```
TbDyCdPb
1.0
5.348 0.000 0.000
2.674 4.632 0.000
2.674 1.544 4.367
Dy Pb Tb Cd
1 1 1 1
Direct
0.750 0.750 0.750
0.000 0.000 0.000
0.250 0.250 0.250
0.500 0.500 0.500
```

Output
Energy ... -3.8495 eV/atom

=====

Below is a relaxed DyTmCdPb crystal, with properties calculated at the GGA-PBE level.

```
DyTmCdPb
1.0
4.927 0.000 0.000
0.000 4.927 0.000
-2.464 -2.464 4.359
Pb Cd Dy Tm
1 1 1 1
Direct
0.500 0.500 0.000
0.000 0.000 0.000
0.250 0.750 0.500
0.750 0.250 0.500
```

Output
E above lowest polymorph ... 0 meV per atom
Energy ... -3.7803 eV/atom

=====

Below is a relaxed DyTmCdPb crystal, with properties calculated at the GGA-PBE level.

```
DyTmCdPb
1.0
5.310 0.000 0.000
2.655 4.599 0.000
2.655 1.533 4.336
Pb Cd Tm Dy
1 1 1 1
Direct
0.000 0.000 0.000
0.500 0.500 0.500
0.750 0.750 0.750
0.250 0.250 0.250
```

Output
E above lowest polymorph ... 5 meV per atom
Energy ... -3.7752 eV/atom

=====

Below is a relaxed DyZrCdPb crystal, with properties calculated at the GGA-PBE level.

```
DyZrCdPb
1.0
5.194 0.000 0.000
2.597 4.498 0.000
2.597 1.499 4.241
Zr Pb Dy Cd
1 1 1 1
Direct
0.750 0.750 0.750
0.500 0.500 0.500
0.250 0.250 0.250
0.000 0.000 0.000
```

Output
Energy ... -4.6035 eV/atom

=====

Below is a relaxed DyCdPd3 crystal, with properties calculated at the GGA-PBE level.

```
DyCdPd3
1.0
5.449 0.000 0.000
0.000 6.586 0.002
0.000 -3.290 5.706
Cd Pd Dy
2 6 2
Direct
0.000 0.000 0.000
0.500 0.000 0.000
0.250 0.799 0.599
0.250 0.401 0.201
0.750 0.599 0.799
0.250 0.800 0.200
0.750 0.201 0.401
0.750 0.200 0.800
0.750 0.666 0.334
0.250 0.334 0.666
```

Output
Energy ... -4.6481 eV/atom

=====

Below is a relaxed DyCd3Pd6 crystal, with properties calculated at the GGA-PBE level.

```
DyCd3Pd6
1.0
-4.265 -0.264 -0.249
0.624 -2.054 -8.529
0.371 -8.912 3.099
Dy Pd Cd
2 12 6
Direct
0.750 0.063 0.374
0.250 0.937 0.626
0.750 0.365 0.301
0.750 0.151 0.705
0.250 0.054 0.912
0.250 0.635 0.699
0.750 0.546 0.900
0.250 0.154 0.206
0.250 0.454 0.100
0.750 0.846 0.794
0.750 0.747 0.494
0.250 0.849 0.295
0.250 0.253 0.506
0.750 0.946 0.088
0.750 0.655 0.192
0.750 0.448 0.602
0.250 0.345 0.808
0.250 0.552 0.398
0.750 0.248 0.014
0.250 0.752 0.986
```

Output
Energy ... -4.3815 eV/atom

=====

Below is a relaxed Dy2CdPd8 crystal, with properties calculated at the GGA-PBE level.

```
Dy2CdPd8
1.0
4.222 0.000 0.000
0.000 6.577 0.245
-2.111 -2.471 6.902
Pd Dy Cd
8 2 1
Direct
0.964 0.278 0.928
0.409 0.552 0.818
0.143 0.183 0.286
0.672 0.903 0.344
0.036 0.722 0.072
0.328 0.097 0.656
0.591 0.448 0.182
0.857 0.817 0.714
0.784 0.334 0.568
0.216 0.666 0.432
0.500 0.000 0.000
```

Output
Energy ... -5.2819 eV/atom

=====

Below is a relaxed Dy2Cd2Pd5 crystal, with properties calculated at the GGA-PBE level.

```
Dy2Cd2Pd5
1.0
5.422 0.000 0.000
0.000 9.124 0.000
-2.711 -4.562 7.093
Pd Cd Dy
10 4 4
Direct
0.404 0.468 0.304
0.400 0.968 0.304
0.596 0.164 0.696
0.205 0.270 0.912
0.795 0.358 0.089
0.793 0.858 0.089
0.999 0.066 0.500
0.600 0.664 0.696
0.207 0.770 0.911
0.001 0.566 0.500
0.000 0.064 0.000
0.717 0.816 0.500
0.500 0.564 0.000
0.283 0.316 0.500
0.901 0.438 0.747
0.654 0.192 0.253
0.346 0.938 0.747
0.099 0.692 0.253
```

Output
Energy ... -4.6281 eV/atom

=====

Below is a relaxed Dy3Cd2Pd8 crystal, with properties calculated at the GGA-PBE level.

```
Dy3Cd2Pd8
1.0
-3.539 3.202 -2.535
-4.652 -2.041 -1.845
-7.186 2.504 7.435
Dy Pd Cd
3 8 2
Direct
0.190 0.190 0.431
0.000 0.000 0.000
0.810 0.810 0.569
0.270 0.270 0.685
0.730 0.730 0.315
0.280 0.280 0.160
0.730 0.225 0.315
0.225 0.730 0.315
0.270 0.775 0.685
0.720 0.720 0.840
0.775 0.270 0.685
0.635 0.635 0.096
0.365 0.365 0.904
```

Output
Energy ... -4.9264 eV/atom

=====

Below is a relaxed Dy3CdPd6 crystal, with properties calculated at the GGA-PBE level.

```
Dy3CdPd6
1.0
-4.564 1.613 -0.824
-0.731 -5.210 -6.151
-3.063 -3.929 9.273
Dy Cd Pd
6 2 12
Direct
0.750 0.471 0.621
0.750 0.207 0.015
0.250 0.529 0.379
0.250 0.336 0.787
0.250 0.793 0.985
0.750 0.664 0.213
0.250 0.944 0.568
0.750 0.056 0.432
0.750 0.332 0.322
0.750 0.745 0.520
0.250 0.255 0.480
0.250 0.467 0.082
0.750 0.836 0.827
0.250 0.668 0.678
0.750 0.533 0.918
0.250 0.045 0.859
0.250 0.164 0.173
0.250 0.884 0.281
0.750 0.955 0.141
0.750 0.116 0.719
```

Output
Energy ... -5.3729 eV/atom

=====

Below is a relaxed DyCdPd6 crystal, with properties calculated at the GGA-PBE level.

```
DyCdPd6
1.0
4.071 0.000 0.000
0.000 4.071 0.000
0.000 0.000 8.192
Pd Dy Cd
6 1 1
Direct
0.500 0.500 0.000
0.000 0.500 0.746
0.500 0.500 0.500
0.500 0.000 0.254
0.500 0.000 0.746
0.000 0.500 0.254
0.000 0.000 0.000
0.000 0.000 0.500
```

Output
E above lowest polymorph ... 0 meV per atom
Energy ... -5.1362 eV/atom

=====

Below is a relaxed DyCd4Pd5 crystal, with properties calculated at the GGA-PBE level.

```
DyCd4Pd5
1.0
3.461 0.000 0.000
0.000 3.461 0.000
0.000 0.000 15.301
Cd Pd Dy
4 5 1
Direct
0.000 0.000 0.402
0.000 0.000 0.792
0.000 0.000 0.598
0.000 0.000 0.208
0.500 0.500 0.106
0.500 0.500 0.894
0.500 0.500 0.303
0.500 0.500 0.697
0.500 0.500 0.500
0.000 0.000 0.000
```

Output
Energy ... -3.9281 eV/atom

=====

Below is a relaxed DyCdPd2 crystal, with properties calculated at the GGA-PBE level.

```
DyCdPd2
1.0
-2.466 -2.396 -0.490
0.362 -1.299 4.523
-3.304 3.161 1.172
Cd Pd Dy
1 2 1
Direct
0.500 0.000 0.000
0.000 0.000 0.500
0.000 0.500 0.000
0.500 0.500 0.500
```

Output
E above lowest polymorph ... 71 meV per atom
Energy ... -4.6451 eV/atom

=====

Below is a relaxed DyCd2Pd4 crystal, with properties calculated at the GGA-PBE level.

```
DyCd2Pd4
1.0
5.400 0.314 -1.709
-2.601 4.514 -2.244
0.181 -0.314 5.661
Cd Pd Dy
2 4 1
Direct
0.500 0.000 0.500
0.500 0.500 0.000
0.500 0.000 0.000
0.000 0.000 0.500
0.000 0.500 0.000
0.500 0.500 0.500
0.000 0.000 0.000
```

Output
E above lowest polymorph ... 134 meV per atom
Energy ... -4.2997 eV/atom

=====

Below is a relaxed Dy5Cd2Pd12 crystal, with properties calculated at the GGA-PBE level.

```
Dy5Cd2Pd12
1.0
-0.372 -5.557 0.338
7.698 2.044 -3.985
-0.002 0.583 9.578
Cd Dy Pd
2 5 12
Direct
0.750 0.000 0.000
0.250 0.000 0.000
0.341 0.682 0.129
0.683 0.366 0.375
0.000 0.000 0.500
0.317 0.634 0.625
0.659 0.318 0.871
0.894 0.788 0.691
0.422 0.368 0.128
0.946 0.368 0.128
0.090 0.683 0.393
0.593 0.683 0.393
0.510 0.021 0.366
0.910 0.317 0.607
0.490 0.979 0.634
0.407 0.317 0.607
0.106 0.212 0.309
0.578 0.632 0.872
0.054 0.632 0.872
```

Output
Energy ... -5.1175 eV/atom

=====

Below is a relaxed Dy3CdPd5 crystal, with properties calculated at the GGA-PBE level.

```
Dy3CdPd5
1.0
5.794 0.000 0.000
0.000 8.468 0.000
0.000 -4.234 7.334
Pd Dy Cd
10 6 2
Direct
0.250 0.000 0.692
0.250 0.308 0.308
0.500 0.333 0.667
0.000 0.667 0.333
0.250 0.692 0.000
0.750 0.308 0.000
0.500 0.667 0.333
0.750 0.000 0.308
0.000 0.333 0.667
0.750 0.692 0.692
0.250 0.638 0.638
0.750 0.638 0.000
0.250 0.362 0.000
0.750 0.000 0.638
0.750 0.362 0.362
0.250 0.000 0.362
0.500 0.000 0.000
0.000 0.000 0.000
```

Output
Energy ... -5.3262 eV/atom

=====

Below is a relaxed Dy3CdPd3 crystal, with properties calculated at the GGA-PBE level.

```
Dy3CdPd3
1.0
-1.557 3.367 3.505
-3.787 -6.163 4.239
7.981 1.949 1.672
Pd Dy Cd
6 6 2
Direct
0.750 0.177 0.220
0.250 0.220 0.043
0.750 0.780 0.957
0.250 0.957 0.177
0.250 0.823 0.780
0.750 0.043 0.823
0.750 0.671 0.587
0.750 0.413 0.084
0.250 0.084 0.671
0.250 0.587 0.916
0.250 0.329 0.413
0.750 0.916 0.329
0.750 0.333 0.667
0.250 0.667 0.333
```

Output
Energy ... -4.9577 eV/atom

=====

Below is a relaxed DyCdPd2 crystal, with properties calculated at the GGA-PBE level.

```
DyCdPd2
1.0
3.570 0.000 0.000
0.000 3.570 0.000
0.000 0.000 6.129
Pd Dy Cd
2 1 1
Direct
0.000 0.000 0.740
0.000 0.000 0.260
0.500 0.500 0.000
0.500 0.500 0.500
```

Output
E above lowest polymorph ... 55 meV per atom
Energy ... -4.6608 eV/atom

=====

Below is a relaxed DyCdPd2 crystal, with properties calculated at the GGA-PBE level.

```
DyCdPd2
1.0
4.792 0.000 0.000
2.396 4.150 0.000
2.396 1.383 3.913
Dy Pd Cd
1 2 1
Direct
0.000 0.000 0.000
0.750 0.750 0.750
0.250 0.250 0.250
0.500 0.500 0.500
```

Output
E above lowest polymorph ... 0 meV per atom
Energy ... -4.7161 eV/atom

=====

Below is a relaxed DyCd4Pd2 crystal, with properties calculated at the GGA-PBE level.

```
DyCd4Pd2
1.0
-2.547 -2.879 0.324
6.505 -5.887 -1.189
1.383 -0.238 8.742
Cd Pd Dy
8 4 2
Direct
0.500 0.404 0.835
0.500 0.165 0.596
0.000 0.665 0.904
0.000 0.335 0.096
0.000 0.096 0.335
0.500 0.835 0.404
0.000 0.904 0.665
0.500 0.596 0.165
0.000 0.829 0.171
0.500 0.329 0.329
0.000 0.171 0.829
0.500 0.671 0.671
0.000 0.500 0.500
0.500 0.000 0.000
```

Output
Energy ... -3.0708 eV/atom